(1)
Ac2PmPr4Tm after structural relaxation. Source: Alexandria, functional PBE.

## Properties
Calculated formation energy (eV/atom): 0.034
Size of the total moment (μB per formula unit): 0.0
VASP energy (eV/atom): -4.5360
N(E_F) (states/eV per cell): 12.6

Cell lengths 6.416, 3.773, 12.490 Å; angles 90.00, 100.48, 90.00 degrees
Space group P2/m (No. 10)
Inequivalent atoms, fractional coordinates:
Ac  0.000  0.000  0.000 (multiplicity 1)
Ac  0.000  0.500  0.500 (multiplicity 1)
Pm  0.500  0.000  0.500 (multiplicity 1)
Pr  0.254  0.500  0.251 (multiplicity 2)
Pr  0.255  0.000  0.755 (multiplicity 2)
Tm  0.500  0.500  0.000 (multiplicity 1)

***

(2)
Ac2PmPrTm after structural relaxation. Source: Alexandria, functional PBE.

## Properties
Calculated formation energy (eV/atom): 0.245
Size of the total moment (μB per formula unit): 0.0
VASP energy (eV/atom): -4.1990
N(E_F) (states/eV per cell): 13.1

Cell lengths 6.496, 8.855, 6.838 Å; angles 90.00, 90.00, 90.00 degrees
Space group Pmma (No. 51)
Inequivalent atoms, fractional coordinates:
Ac  0.250  0.207  0.213 (multiplicity 4)
Pm  0.250  0.000  0.685 (multiplicity 2)
Pr  0.250  0.500  0.914 (multiplicity 2)
Tm  0.000  0.500  0.500 (multiplicity 2)

***

(3)
AcPmPrTm2 after structural relaxation. Source: Alexandria, functional PBE.

## Properties
Calculated formation energy (eV/atom): 0.355
Size of the total moment (μB per formula unit): 0.0
VASP energy (eV/atom): -4.1617
N(E_F) (states/eV per cell): 33.7

Cell lengths 6.580, 17.516, 6.451 Å; angles 90.00, 90.00, 90.00 degrees
Space group Cmcm (No. 63)
Inequivalent atoms, fractional coordinates:
Ac  0.000  0.156  0.250 (multiplicity 4)
Pm  0.000  0.281  0.750 (multiplicity 4)
Pr  0.000  0.348  0.250 (multiplicity 4)
Tm  0.243  0.500  0.000 (multiplicity 8)

***

(4)
AcPm6Pr2Tm after structural relaxation. Source: Alexandria, functional PBE.

## Properties
Calculated formation energy (eV/atom): 0.118
Size of the total moment (μB per formula unit): 0.0
VASP energy (eV/atom): -4.5467
N(E_F) (states/eV per cell): 57.1

Cell lengths 9.372, 15.669, 9.780 Å; angles 90.00, 95.68, 90.00 degrees
Space group C2/c (No. 15)
Inequivalent atoms, fractional coordinates:
Ac  0.000  0.023  0.250 (multiplicity 4)
Pm  0.058  0.192  0.944 (multiplicity 8)
Pm  0.105  0.393  0.116 (multiplicity 8)
Pm  0.211  0.225  0.310 (multiplicity 8)
Pr  0.241  0.442  0.454 (multiplicity 8)
Tm  0.000  0.412  0.750 (multiplicity 4)

***

(5)
AcPm2Pr6Tm after structural relaxation. Source: Alexandria, functional PBE.

## Properties
Calculated formation energy (eV/atom): 0.114
Size of the total moment (μB per formula unit): 0.0
VASP energy (eV/atom): -4.5623
N(E_F) (states/eV per cell): 57.6

Cell lengths 9.452, 15.736, 9.856 Å; angles 90.00, 96.00, 90.00 degrees
Space group C2/c (No. 15)
Inequivalent atoms, fractional coordinates:
Ac  0.000  0.023  0.250 (multiplicity 4)
Pm  0.242  0.444  0.454 (multiplicity 8)
Pr  0.059  0.188  0.946 (multiplicity 8)
Pr  0.103  0.394  0.116 (multiplicity 8)
Pr  0.214  0.224  0.310 (multiplicity 8)
Tm  0.000  0.412  0.750 (multiplicity 4)

***

(6)
AcPmPr3Tm after structural relaxation. Source: Alexandria, functional PBE.

## Properties
Calculated formation energy (eV/atom): 0.036
Size of the total moment (μB per formula unit): 0.0
VASP energy (eV/atom): -4.5760
N(E_F) (states/eV per cell): 20.1

Cell lengths 8.286, 5.269, 10.520 Å; angles 90.00, 108.74, 90.00 degrees
Space group P2_1/m (No. 11)
Inequivalent atoms, fractional coordinates:
Ac  0.172  0.250  0.294 (multiplicity 2)
Pm  0.497  0.750  0.875 (multiplicity 2)
Pr  0.173  0.250  0.792 (multiplicity 2)
Pr  0.173  0.750  0.041 (multiplicity 2)
Pr  0.174  0.750  0.546 (multiplicity 2)
Tm  0.499  0.250  0.626 (multiplicity 2)

***

(7)
AcPmPr2Tm5 after structural relaxation. Source: Alexandria, functional PBE.

## Properties
Calculated formation energy (eV/atom): 0.249
Size of the total moment (μB per formula unit): 0.0
VASP energy (eV/atom): -4.2816
N(E_F) (states/eV per cell): 37.6

Cell lengths 8.794, 8.794, 15.683 Å; angles 90.00, 90.00, 90.00 degrees
Space group I4/mcm (No. 140)
Inequivalent atoms, fractional coordinates:
Ac  0.000  0.000  0.250 (multiplicity 4)
Pm  0.000  0.500  0.250 (multiplicity 4)
Pr  0.118  0.382  0.000 (multiplicity 8)
Tm  0.000  0.000  0.000 (multiplicity 4)
Tm  0.208  0.292  0.366 (multiplicity 16)

***

(8)
AcPm2PrTm after structural relaxation. Source: Alexandria, functional PBE.

## Properties
Calculated formation energy (eV/atom): 0.344
Size of the total moment (μB per formula unit): 0.0
VASP energy (eV/atom): -4.2280
N(E_F) (states/eV per cell): 28.2

Cell lengths 8.319, 12.248, 7.408 Å; angles 90.00, 90.00, 90.00 degrees
Space group Cmcm (No. 63)
Inequivalent atoms, fractional coordinates:
Ac  0.000  0.243  0.250 (multiplicity 4)
Pm  0.196  0.500  0.000 (multiplicity 8)
Pr  0.000  0.062  0.750 (multiplicity 4)
Tm  0.000  0.311  0.750 (multiplicity 4)

***

Which of these has the highest calculated formation energy? AcPmPrTm2

***

Look up the size of the total moment of the fourth one. 0.0 μB per formula unit